# Rb2ScCo3F12

Crystalline Rb2ScCo3F12 at its relaxed geometry (GGA+U, Alexandria via LeMat-Bulk).

Summary:
DFT total energy (eV per cell): -94.2
Symmetry: No. 166

Unit cell a=7.5221 b=7.5221 c=7.5221 alpha=58.75 beta=58.75 gamma=58.75
Last column: nearest neighbours and their distance in Å.
Positions (direct):
Rb  0.1127  0.1127  0.1127  6 F 3.07-3.33
Rb  0.8873  0.8873  0.8873  6 F 3.07-3.33
Sc  0.5000  0.5000  0.5000  6 F 2.03
Co  0.0000  0.5000  0.5000  6 F 1.99-2.03
Co  0.5000  0.0000  0.5000  6 F 1.99-2.03
Co  0.5000  0.5000  0.0000  6 F 1.99-2.03
F  0.1752  0.5721  0.5721  1 Sc 2.03, 1 Co 2.03
F  0.1787  0.1787  0.5770  2 Co 1.99
F  0.1787  0.5769  0.1787  2 Co 1.99
F  0.4230  0.8213  0.8213  2 Co 1.99
F  0.4279  0.4279  0.8248  1 Sc 2.03, 1 Co 2.03
F  0.4279  0.8248  0.4279  1 Sc 2.03, 1 Co 2.03
F  0.5721  0.1752  0.5721  1 Sc 2.03, 1 Co 2.03
F  0.5721  0.5721  0.1752  1 Sc 2.03, 1 Co 2.03
F  0.5769  0.1787  0.1787  2 Co 1.99
F  0.8213  0.4230  0.8213  2 Co 1.99
F  0.8213  0.8213  0.4231  2 Co 1.99
F  0.8248  0.4279  0.4279  1 Sc 2.03, 1 Co 2.03